# 1
An optimized crystal structure of HfInAu. Source: Alexandria via LeMat-Bulk, functional PBE.

The space group is P1 (No. 1) and the conventional cell measures 4.4564, 5.8084 and 6.0663 Å, with angles of 101.00, 111.54 and 112.43 degrees. Symmetry generates all atoms from Hf at (0.0000, 0.0000, 0.0000), Hf at (0.1663, 0.5164, 0.8167), In at (0.3214, 0.0164, 0.6274), In at (0.5019, 0.5587, 0.4447), Au at (0.6928, 0.0590, 0.3280) and Au at (0.7929, 0.4803, 0.1046).

The electronic total energy is -5.587 eV per atom. As for the formation enthalpy at 0 K: -263 meV/atom.


# 2
An optimized crystal structure of BeCo2Br. Source: Alexandria via LeMat-Bulk, functional PBE.

The space group is P4/mmm (No. 123) and the conventional cell measures 2.9897, 2.9897 and 5.9355 Å, with angles of 90.00, 90.00 and 90.00 degrees. Symmetry generates all atoms from Be at (0.0000, 0.0000, 0.0000), Co at (0.5000, 0.5000, 0.1874) and Br at (0.0000, 0.0000, 0.5000).

The value obtained for the distance to the lowest polymorph of the same formula is 114 meV per atom. As for the formation energy (no corrections): 0.4332 eV per atom. The electronic total energy is -4.470 eV per atom.


# 3
An optimized crystal structure of Ag2Pd12Pb5. Source: Alexandria via LeMat-Bulk, functional PBE.

The space group is C2/m (No. 12) and the conventional cell measures 15.5829, 5.5914 and 9.2736 Å, with angles of 90.00, 107.70 and 90.00 degrees. Symmetry generates all atoms from Ag at (0.0000, 0.2446, 0.0000), Pd at (0.0128, 0.5000, 0.3600), Pd at (0.1053, 0.0000, 0.3000), Pd at (0.1564, 0.2536, 0.6049), Pd at (0.1937, 0.2388, 0.1145), Pb at (0.0000, 0.0000, 0.5000), Pb at (0.1434, 0.5000, 0.8606) and Pb at (0.1853, 0.5000, 0.3586).

The electronic total energy is -4.616 eV per atom. As for the formation enthalpy at 0 K: -60 meV/atom.